Record 1
A relaxed Th4GaGeAs2 crystal. Source: Alexandria, functional GGA-PBE.

The value obtained for the calculated volume is 27.90 A^3/atom. The value obtained for the magnetic moment is 0.00 μB per formula unit. The value obtained for the formation energy is -966 meV per atom.

It has space group P2/m (No. 10), with a = 7.406 Å, b = 4.298 Å, c = 7.442 Å, α = 90.00°, β = 109.57° and γ = 90.00°. The inequivalent atoms are Th at (0.248, 0.000, 0.249), Th at (0.248, 0.500, 0.750), Ga at (0.000, 0.000, 0.500), Ge at (0.000, 0.500, 0.000), As at (0.500, 0.000, 0.000) and As at (0.500, 0.500, 0.500).

---

Record 2
A relaxed Pr2ThIn3 crystal. Source: Alexandria, functional GGA-PBE.

The value obtained for the calculated volume is 29.16 A^3/atom. The value obtained for the magnetic moment is 0.00 μB per formula unit. The value obtained for the formation energy is -415 meV per atom.

It has space group P4/mmm (No. 123), with a = 3.592 Å, b = 3.592 Å, c = 13.559 Å, α = 90.00°, β = 90.00° and γ = 90.00°. The inequivalent atoms are Pr at (0.000, 0.000, 0.166), Th at (0.000, 0.000, 0.500), In at (0.500, 0.500, 0.000) and In at (0.500, 0.500, 0.333).

---

Record 3
A relaxed ZnCd2Si crystal. Source: Alexandria, functional GGA-PBE.

The value obtained for the calculated volume is 19.96 A^3/atom. The value obtained for the magnetic moment is 0.00 μB per formula unit. The calculation puts the formation energy from raw total energies at 0.29 eV/atom.

It has space group P4/mmm (No. 123), with a = 5.320 Å, b = 5.320 Å, c = 2.821 Å, α = 90.00°, β = 90.00° and γ = 90.00°. The inequivalent atoms are Zn at (0.000, 0.000, 0.000), Cd at (0.000, 0.500, 0.500) and Si at (0.500, 0.500, 0.000).

---

Record 4
A relaxed NdAl6Pd2 crystal. Source: Alexandria, functional GGA-PBE.

The value obtained for the calculated volume is 22.93 A^3/atom. The value obtained for the magnetic moment is 0.00 μB per formula unit. The value obtained for the formation energy is -47 meV per atom.

It has space group Fd-3m (No. 227, origin choice 2), with a = 11.819 Å, b = 11.819 Å, c = 11.819 Å, α = 90.00°, β = 90.00° and γ = 90.00°. The inequivalent atoms are Nd at (0.125, 0.125, 0.125), Al at (0.110, 0.375, 0.875) and Pd at (0.000, 0.000, 0.500).